Compound: Cr2Hg
Source: the Alexandria database
Functional: PBE
Structure: relaxed

Lattice parameters (Å, degrees): 6.262 6.262 4.207 90.00 90.00 143.52
Fractional positions:
Cr 0.123 0.877 0.750
Cr 0.253 0.747 0.250
Cr 0.747 0.253 0.750
Cr 0.877 0.123 0.250
Hg 0.416 0.584 0.750
Hg 0.584 0.416 0.250

## Properties
excess energy over the best structure of this formula in the dataset	60	meV/atom
SG	Cmcm (63)
ΔH_f (0 K)	444	meV/atom

=====

Compound: CrHg
Source: the Alexandria database
Functional: PBE
Structure: relaxed

Lattice parameters (Å, degrees): 2.982 2.982 7.616 90.00 90.00 90.00
Fractional positions:
Cr 0.250 0.250 0.069
Cr 0.750 0.750 0.931
Hg 0.250 0.250 0.664
Hg 0.750 0.750 0.336

## Properties
SG	P4/nmm (129)
ΔH_f (0 K)	447	meV/atom

=====

Compound: CrHg
Source: the Alexandria database
Functional: PBE
Structure: relaxed

Lattice parameters (Å, degrees): 4.391 5.335 5.335 116.02 90.00 90.00
Fractional positions:
Cr 0.000 0.000 0.000
Cr 0.500 0.201 0.981
Cr 0.500 0.981 0.201
Hg 0.000 0.144 0.569
Hg 0.000 0.569 0.144
Hg 0.500 0.605 0.605

## Properties
SG	Amm2 (38)
ΔH_f (0 K)	578	meV/atom